# 1
DFT (PBE) results for a relaxed NaHg2Pd4 crystal.

Output
ΔH_f (0 K): 0.5382 eV/atom
Magnetization: 0.000 μB/atom
Polymorph energy (0 for the lowest one): 0.455 eV/atom
Raw total energy: -2.70 eV per atom

Cell: 4.638 4.638 7.652 Å, 72.36 72.36 90.00°
Fractional positions:
Pd: 0.816 0.816 0.369
Hg: 0.623 0.623 0.755
Pd: 0.000 0.500 0.000
Pd: 0.184 0.184 0.631
Pd: 0.500 0.000 0.000
Na: 0.000 0.000 0.000
Hg: 0.377 0.377 0.245

***

# 2
DFT (PBE) results for a relaxed CsGa2Au crystal.

Output
ΔH_f (0 K): 0.2883 eV/atom
Magnetization: 0.000 μB/atom
Raw total energy: -2.26 eV per atom

Cell: 5.314 5.314 5.314 Å, 60.00 60.00 60.00°
Fractional positions:
Ga: 0.750 0.750 0.750
Au: 0.500 0.500 0.500
Ga: 0.250 0.250 0.250
Cs: 0.000 0.000 0.000

***

# 3
DFT (PBE) results for a relaxed Li2TlTe2 crystal.

Output
Uncorrected formation energy: -601 meV per atom
Magnetization: 0.000 μB/atom
Polymorph energy (0 for the lowest one): 0.043 eV/atom
Raw total energy: -3.10 eV per atom

Cell: 4.714 4.714 7.074 Å, 70.54 70.54 90.00°
Fractional positions:
Tl: 0.000 0.000 0.000
Te: 0.369 0.369 0.263
Li: 0.750 0.250 0.500
Li: 0.250 0.750 0.500
Te: 0.631 0.631 0.737

***

# 4
DFT (PBE) results for a relaxed HfAgCl2 crystal.

Output
Uncorrected formation energy: -365 meV per atom
Magnetization: 0.191 μB/atom
Polymorph energy (0 for the lowest one): 0.467 eV/atom
Raw total energy: -4.49 eV per atom

Cell: 8.962 8.962 8.962 Å, 22.25 22.25 22.25°
Site moments in Bohr magnetons follow the coordinates.
Fractional positions:
Ag: 0.500 0.500 0.500  0.02
Cl: 0.906 0.906 0.906  0.00
Cl: 0.094 0.094 0.094  0.00
Hf: 0.000 0.000 0.000  0.41

***

# 5
DFT (PBE) results for a relaxed TcNiRu crystal.

Output
ΔH_f (0 K): 0.0827 eV/atom
Magnetization: 0.000 μB/atom
Polymorph energy (0 for the lowest one): 0.072 eV/atom
Raw total energy: -8.39 eV per atom

Cell: 5.875 5.875 5.875 Å, 153.71 153.71 37.53°
Fractional positions:
Ni: 0.001 0.001 0.000
Tc: 0.665 0.665 0.000
Ru: 0.334 0.334 0.000

***

# 6
DFT (PBE) results for a relaxed LiZnP crystal.

Output
ΔH_f (0 K): -0.0603 eV/atom
Magnetization: 0.000 μB/atom
Raw total energy: -2.93 eV per atom

Cell: 6.276 6.276 6.276 Å, 154.68 154.68 36.11°
Fractional positions:
Zn: 0.669 0.669 0.000
P: 0.339 0.339 0.000
Li: 0.993 0.993 0.000

***

# 7
DFT (PBE) results for a relaxed V4Cr5Re crystal.

Output
ΔH_f (0 K): 0.2580 eV/atom
Magnetization: 0.000 μB/atom
Raw total energy: -9.45 eV per atom

Cell: 4.094 7.445 4.866 Å, 84.71 114.87 90.00°
Fractional positions:
Cr: 0.852 0.457 0.705
Cr: 0.500 0.500 0.000
V: 0.029 0.201 0.059
Cr: 0.148 0.543 0.295
Cr: 0.235 0.909 0.471
V: 0.305 0.275 0.610
Re: 0.500 0.000 0.000
Cr: 0.765 0.091 0.529
V: 0.971 0.799 0.941
V: 0.695 0.725 0.390

***

# 8
DFT (PBE) results for a relaxed MgPa2Al crystal.

Output
ΔH_f (0 K): 0.0494 eV/atom
Magnetization: 0.000 μB/atom
Polymorph energy (0 for the lowest one): 0.000 eV/atom
Raw total energy: -6.03 eV per atom

Cell: 4.797 4.313 4.313 Å, 90.00 90.00 90.00°
Fractional positions:
Mg: 0.500 0.000 0.000
Pa: 0.000 0.500 0.000
Al: 0.500 0.500 0.500
Pa: 0.000 0.000 0.500